# 1
## Ce5Pb (GGA-PBE)

Data for crystalline Ce5Pb at its relaxed geometry.

```
Ce5Pb
1.0
2.7533 -6.8084 0.0000
2.7533 6.8084 0.0000
0.0000 0.0000 4.2545
Ce Pb
5 1
Cartesian
0.0000 0.0000 0.0000 Ce
2.7533 4.5175 2.1273 Ce
2.7533 2.6274 0.0000 Ce
2.7533 -2.6274 0.0000 Ce
2.7533 -4.5175 2.1273 Ce
2.7533 0.0000 2.1273 Pb
```

Output
**VASP energy**: -33.9 eV/cell
**Formation enthalpy at 0 K**: -0.080 eV per atom

***

# 2
## Ce3Pb2 (GGA-PBE)

Data for crystalline Ce3Pb2 at its relaxed geometry.

```
Ce3Pb2
1.0
-4.4766 6.0838 3.2085
4.4766 -6.0838 3.2085
4.4766 6.0838 -3.2085
Ce Pb
6 4
Cartesian
5.7078 1.6676 0.0000 Ce
0.0000 0.0000 1.6043 Ce
1.2313 4.4161 0.0000 Ce
3.2453 1.6676 3.2085 Ce
0.0000 0.0000 4.8128 Ce
-1.2313 4.4161 3.2085 Ce
2.4679 1.4978 0.0000 Pb
2.4679 -1.4978 3.2085 Pb
2.0087 7.5816 0.0000 Pb
2.0087 4.5859 3.2085 Pb
```

Output
**ΔE to the lowest computed polymorph**: 120 meV/atom
**VASP energy**: -52.1 eV/cell
**Formation enthalpy at 0 K**: -0.168 eV per atom

***

# 3
## Ce4Pb3 (GGA-PBE)

Data for crystalline Ce4Pb3 at its relaxed geometry.

```
Ce4Pb3
1.0
-2.2214 2.2214 11.4929
2.2214 -2.2214 11.4929
2.2214 2.2214 -11.4929
Ce Pb
4 3
Cartesian
0.0000 0.0000 1.3612 Ce
0.0000 0.0000 7.6957 Ce
0.0000 0.0000 15.2900 Ce
0.0000 0.0000 21.6245 Ce
0.0000 0.0000 4.5010 Pb
0.0000 0.0000 11.4929 Pb
0.0000 0.0000 18.4848 Pb
```

Output
**ΔE to the lowest computed polymorph**: 135 meV/atom
**VASP energy**: -36.5 eV/cell
**Formation enthalpy at 0 K**: -0.234 eV per atom

***

# 4
## Ce6Pb5 (GGA-PBE)

Data for crystalline Ce6Pb5 at its relaxed geometry.

```
Ce6Pb5
1.0
3.9379 -6.8160 0.0000
3.9379 6.8160 0.0000
-2.6269 0.0000 7.3850
Ce Pb
6 5
Cartesian
-0.0028 2.2738 5.5317 Ce
1.3039 0.0000 1.8573 Ce
-0.0028 -2.2738 5.5317 Ce
5.2516 2.2738 1.8533 Ce
3.9449 0.0000 5.5277 Ce
5.2516 -2.2738 1.8533 Ce
-1.3135 0.0000 3.6925 Pb
3.9379 4.5428 0.0000 Pb
2.6244 2.2625 3.6925 Pb
2.6244 -2.2625 3.6925 Pb
3.9379 -4.5428 0.0000 Pb
```

Output
**VASP energy**: -55.9 eV/cell
**Formation enthalpy at 0 K**: -0.158 eV per atom

***

# 5
## CePb6 (GGA-PBE)

Data for crystalline CePb6 at its relaxed geometry.

```
CePb6
1.0
-4.2768 4.2768 4.2768
4.2768 -4.2768 4.2768
4.2768 4.2768 -4.2768
Ce Pb
1 6
Cartesian
0.0000 0.0000 0.0000 Ce
4.2768 2.1384 0.0000 Pb
4.2768 0.0000 2.1384 Pb
2.1384 4.2768 0.0000 Pb
2.1384 0.0000 4.2768 Pb
0.0000 4.2768 2.1384 Pb
0.0000 2.1384 4.2768 Pb
```

Output
**VASP energy**: -24.2 eV/cell
**Formation enthalpy at 0 K**: 0.564 eV per atom

***

# 6
## Ce3Pb2 (GGA-PBE)

Data for crystalline Ce3Pb2 at its relaxed geometry.

```
Ce3Pb2
1.0
-3.0915 3.0915 8.1328
3.0915 -3.0915 8.1328
3.0915 3.0915 -8.1328
Ce Pb
6 4
Cartesian
0.0000 0.0000 0.0000 Ce
1.5457 1.5457 -4.0664 Ce
1.5457 -1.5457 4.0664 Ce
3.0915 1.5457 2.0332 Ce
0.0000 3.0915 0.0000 Ce
0.0000 1.5457 6.0996 Ce
3.0915 1.5457 -1.1596 Pb
0.0000 1.5457 2.9068 Pb
3.0915 1.5457 5.2261 Pb
0.0000 1.5457 9.2925 Pb
```

Output
**ΔE to the lowest computed polymorph**: 0 meV/atom
**VASP energy**: -53.3 eV/cell
**Formation enthalpy at 0 K**: -0.289 eV per atom

***

Q: Among the records above, which one has the highest formation enthalpy at 0 K?
A: CePb6